# 1
Computed, not measured: crystalline ScCr3Cl at its relaxed geometry at the PBE level of DFT.

Results
- M_tot (μB/f.u.) = 2.08
- distance to the lowest polymorph of the same formula (meV/atom) = 0
- V (Å³/atom) = 14.88
- energy relative to the elements, uncorrected (eV per formula unit) = 2.99
- space-group type = No. 221

Cell lengths 4.2056, 4.2056, 4.2056 Å; angles 90.00, 90.00, 90.00 degrees
Positions (direct):
Sc 0.5000 0.5000 0.5000
Cr 0.0000 0.5000 0.0000
Cr 0.0000 0.0000 0.5000
Cr 0.5000 0.0000 0.0000
Cl 0.0000 0.0000 0.0000



# 2
Computed, not measured: crystalline Hf2Ga3Cu2 at its relaxed geometry at the PBE level of DFT.

Results
- M_tot (μB/f.u.) = 0.00
- distance to the lowest polymorph of the same formula (meV/atom) = 40
- V (Å³/atom) = 16.18
- ΔE_f (meV/atom) = -317
- space-group type = No. 12

Cell lengths 4.0615, 6.2010, 5.2915 Å; angles 111.15, 112.57, 90.00 degrees
Positions (direct):
Hf 0.3495 0.2308 0.6991
Hf 0.6505 0.7692 0.3009
Ga 0.0000 0.0000 0.0000
Ga 0.3455 0.7429 0.6910
Ga 0.6545 0.2571 0.3090
Cu 0.0944 0.4254 0.1889
Cu 0.9056 0.5746 0.8111